Sm2DyThSb4 | PBE | relaxed

## Properties
- formation energy (no corrections) (eV per atom) = -1.114
- total energy (eV per atom) = -5.858
- space group = No. 10

Structure (POSCAR):
```
Sm2DyThSb4
1.0
4.467 0.000 0.000
0.000 7.729 -0.158
0.000 2.719 7.216
Dy Th Sb Sm
1 1 4 2
Direct
0.000 0.500 0.500 Dy
0.500 0.500 0.000 Th
0.000 0.750 0.746 Sb
0.500 0.253 0.746 Sb
0.500 0.747 0.254 Sb
0.000 0.250 0.254 Sb
0.500 0.000 0.500 Sm
0.000 0.000 0.000 Sm
```